No. 1
First-principles (PBE) data for a geometry-optimized BaTaTc2O8 structure, as listed in the Alexandria database.

Cell and atoms, written as POSCAR:
```
BaTaTc2O8
1.0
-3.6511 -0.3658 3.7185
2.5482 -1.0341 4.4419
0.3849 6.7325 2.9232
Ba Ta Tc O
1 1 2 8
direct
0.0000 0.0000 0.5000
0.0000 0.0000 0.0000
0.4362 0.4362 0.7297
0.5638 0.5638 0.2703
0.2317 0.7783 0.1965
0.7612 0.7616 0.0834
0.7786 0.2319 0.1964
0.7683 0.2217 0.8035
0.2388 0.2384 0.9166
0.2214 0.7681 0.8036
0.6510 0.6513 0.4825
0.3490 0.3487 0.5175
```

Computed properties:
ΔE_f (raw) ... -23.042 eV/f.u.

No. 2
First-principles (PBE) data for a geometry-optimized V3GaRh structure, as listed in the Alexandria database.

Cell and atoms, written as POSCAR:
```
V3GaRh
1.0
-2.7065 -2.6499 -2.2804
3.4919 -1.9086 -1.9265
0.1703 -2.9804 3.2612
Rh Ga V
1 1 3
direct
0.5000 0.5000 0.5000
0.0000 0.0000 0.0000
0.0000 0.5000 0.0000
0.0000 0.0000 0.5000
0.5000 0.0000 0.0000
```

Computed properties:
Offset from the most stable computed form ... 0.2576 eV per atom

No. 3
First-principles (PBE) data for a geometry-optimized Sm3Te3Se structure, as listed in the Alexandria database.

Cell and atoms, written as POSCAR:
```
Sm3Te3Se
1.0
-3.6237 6.3801 -2.6374
-4.8195 -6.1187 -0.3543
-2.4727 1.6073 7.5040
Sm Te Se
6 6 2
direct
0.9447 0.9447 0.2028
0.8025 0.4994 0.6939
0.4994 0.8025 0.6939
0.1975 0.5006 0.3061
0.5006 0.1975 0.3061
0.0553 0.0553 0.7972
0.6364 0.6364 0.3627
0.1598 0.8402 0.5000
0.8402 0.1598 0.5000
0.2301 0.7699 0.0000
0.7699 0.2301 0.0000
0.3636 0.3636 0.6373
0.7489 0.7489 0.9175
0.2511 0.2511 0.0825
```

Computed properties:
ΔE_f (raw) ... -9.479 eV/f.u.

No. 4
First-principles (PBE) data for a geometry-optimized SmDyTm5Th2 structure, as listed in the Alexandria database.

Cell and atoms, written as POSCAR:
```
SmDyTm5Th2
1.0
8.7179 0.0000 0.0000
0.0000 8.7179 0.0000
-4.3590 -4.3590 7.6330
Sm Dy Tm Th
2 2 10 4
direct
0.2500 0.7500 0.5000
0.7500 0.2500 0.5000
0.2500 0.2500 0.5000
0.7500 0.7500 0.5000
0.9309 0.4309 0.2796
0.6513 0.1513 0.7204
0.0691 0.5691 0.7204
0.1513 0.0691 0.7204
0.5691 0.6513 0.7204
0.8487 0.9309 0.2796
0.4309 0.3487 0.2796
0.3487 0.8487 0.2796
0.5000 0.5000 0.0000
0.0000 0.0000 0.0000
0.1192 0.3808 0.0000
0.6192 0.1192 0.0000
0.3808 0.8808 0.0000
0.8808 0.6192 0.0000
```

Computed properties:
Energy ... -4.827 eV/atom

No. 5
First-principles (PBE) data for a geometry-optimized Be2FeTe structure, as listed in the Alexandria database.

Cell and atoms, written as POSCAR:
```
Be2FeTe
1.0
-3.0589 2.9820 -1.7492
-4.0903 -1.9641 -0.8490
2.7994 0.0829 3.6643
Be Te Fe
2 1 1
direct
0.0000 0.0000 0.0000
0.5000 0.5000 0.0000
0.2500 0.7500 0.5000
0.7500 0.2500 0.5000
```

Computed properties:
ΔE_f (raw) ... 1.879 eV/f.u.

No. 6
First-principles (PBE) data for a geometry-optimized KSc2Pb2 structure, as listed in the Alexandria database.

Cell and atoms, written as POSCAR:
```
KSc2Pb2
1.0
9.1467 0.0000 0.0000
0.0000 9.1467 0.0000
0.0000 0.0000 3.3274
Pb Sc K
4 4 2
direct
0.1679 0.6679 0.5000
0.6679 0.8321 0.5000
0.8321 0.3321 0.5000
0.3321 0.1679 0.5000
0.3739 0.8739 0.0000
0.8739 0.6261 0.0000
0.6261 0.1261 0.0000
0.1261 0.3739 0.0000
0.0000 0.0000 0.0000
0.5000 0.5000 0.0000
```

Computed properties:
Offset from the most stable computed form ... 0.0000 eV per atom

No. 7
First-principles (PBE) data for a geometry-optimized Na2Mn2SiS6 structure, as listed in the Alexandria database.

Cell and atoms, written as POSCAR:
```
Na2Mn2SiS6
1.0
5.9284 -0.0382 0.0418
-2.9633 5.1348 0.0418
-1.0694 -1.8382 6.6708
Na Mn Si S
2 2 1 6
direct
0.8333 0.1667 0.0000
0.1667 0.8333 0.0000
0.3303 0.6697 0.5000
0.6697 0.3303 0.5000
0.0000 0.0000 0.5000
0.7351 0.7351 0.6850
0.0650 0.3943 0.6895
0.2649 0.2649 0.3150
0.3943 0.0650 0.6895
0.9350 0.6057 0.3105
0.6057 0.9350 0.3105
```

Computed properties:
ΔE_f (raw) ... -8.255 eV/f.u.

No. 8
First-principles (PBE) data for a geometry-optimized Ba2TlZnNi structure, as listed in the Alexandria database.

Cell and atoms, written as POSCAR:
```
Ba2TlZnNi
1.0
-0.7660 -5.8330 -0.9365
5.8890 -0.6787 -0.5895
0.3964 -0.8437 4.9310
Zn Tl Ba Ni
1 1 2 1
direct
0.5000 0.5000 0.5000
0.0000 0.0000 0.5000
0.0000 0.5000 0.0000
0.5000 0.0000 0.0000
0.0000 0.0000 0.0000
```

Computed properties:
Offset from the most stable computed form ... 0.0583 eV per atom